Entry from Alexandria via LeMat-Bulk: a relaxed KTlAu3 crystal (PBE).

POSCAR file:
```
KTlAu3
1.0
-2.8619 3.8908 5.5091
2.8619 -3.8908 5.5091
2.8619 3.8908 -5.5091
K Tl Au
2 2 6
Cartesian
0.0000 1.9454 0.0699
2.8619 1.9454 5.4392
2.8619 0.0000 0.0000
0.0000 0.0000 5.5091
1.4309 3.3521 -2.7545
1.4309 -0.5388 2.7545
2.8619 1.9454 2.2342
0.0000 1.9454 3.2748
-1.4309 4.4296 2.7545
1.4309 4.4296 2.7545
```

Values from the calculation:
- ΔH_f (0 K) (meV per atom) = -115
- E above lowest polymorph (meV/atom) = 0.0